(1)
## CuMo2Ir (PBE-GGA)

Data for crystalline CuMo2Ir at its relaxed geometry.

Cell lengths 2.7654, 2.7654, 27.0342 Å; angles 90.00, 90.00, 120.00 degrees
Sites, in units of the cell vectors:
Cu: 0.0000 0.0000 0.0000
Cu: 0.3333 0.6667 0.6667
Cu: 0.6667 0.3333 0.3333
Mo: 0.0000 0.0000 0.2515
Mo: 0.0000 0.0000 0.4938
Mo: 0.3333 0.6667 0.1604
Mo: 0.3333 0.6667 0.9181
Mo: 0.6667 0.3333 0.5848
Mo: 0.6667 0.3333 0.8271
Ir: 0.0000 0.0000 0.7478
Ir: 0.3333 0.6667 0.4145
Ir: 0.6667 0.3333 0.0812

ΔE_f ... 0.140 eV per atom
Polymorph energy (0 for the lowest one) ... 178 meV per atom
SG ... R3m (160)
Crystal system ... trigonal

(2)
## CuMoIr2 (PBE-GGA)

Data for crystalline CuMoIr2 at its relaxed geometry.

Cell lengths 6.9206, 6.9206, 5.4172 Å; angles 90.00, 90.00, 90.00 degrees
Sites, in units of the cell vectors:
Cu: 0.0000 0.0000 0.0000
Cu: 0.0000 0.5000 0.2500
Cu: 0.5000 0.0000 0.7500
Cu: 0.5000 0.5000 0.5000
Mo: 0.0000 0.0000 0.5000
Mo: 0.0000 0.5000 0.7500
Mo: 0.5000 0.0000 0.2500
Mo: 0.5000 0.5000 0.0000
Ir: 0.2292 0.2500 0.6250
Ir: 0.2500 0.7292 0.8750
Ir: 0.2500 0.7708 0.3750
Ir: 0.2708 0.2500 0.1250
Ir: 0.7292 0.7500 0.1250
Ir: 0.7500 0.2292 0.3750
Ir: 0.7500 0.2708 0.8750
Ir: 0.7708 0.7500 0.6250

ΔE_f ... 0.515 eV per atom
Polymorph energy (0 for the lowest one) ... 643 meV per atom
SG ... I-42d (122)
Crystal system ... tetragonal

(3)
## CuMoIr2 (PBE-GGA)

Data for crystalline CuMoIr2 at its relaxed geometry.

Cell lengths 2.7902, 4.5959, 9.1767 Å; angles 90.00, 90.00, 90.00 degrees
Sites, in units of the cell vectors:
Cu: 0.0000 0.0000 0.0000
Cu: 0.5000 0.5000 0.0000
Mo: 0.0000 0.5000 0.7505
Mo: 0.5000 0.0000 0.7505
Ir: 0.0000 0.0000 0.5024
Ir: 0.0000 0.5000 0.2421
Ir: 0.5000 0.0000 0.2421
Ir: 0.5000 0.5000 0.5024

ΔE_f ... 0.273 eV per atom
Polymorph energy (0 for the lowest one) ... 402 meV per atom
SG ... Cmm2 (35)
Crystal system ... orthorhombic

(4)
## CuMo2Ir (PBE-GGA)

Data for crystalline CuMo2Ir at its relaxed geometry.

Cell lengths 6.2007, 6.2007, 6.2007 Å; angles 90.00, 90.00, 90.00 degrees
Sites, in units of the cell vectors:
Cu: 0.0000 0.0000 0.0000
Cu: 0.0000 0.5000 0.5000
Cu: 0.5000 0.0000 0.5000
Cu: 0.5000 0.5000 0.0000
Mo: 0.2500 0.2500 0.2500
Mo: 0.2500 0.2500 0.7500
Mo: 0.2500 0.7500 0.2500
Mo: 0.2500 0.7500 0.7500
Mo: 0.7500 0.2500 0.2500
Mo: 0.7500 0.2500 0.7500
Mo: 0.7500 0.7500 0.2500
Mo: 0.7500 0.7500 0.7500
Ir: 0.0000 0.0000 0.5000
Ir: 0.0000 0.5000 0.0000
Ir: 0.5000 0.0000 0.0000
Ir: 0.5000 0.5000 0.5000

ΔE_f ... 0.337 eV per atom
Polymorph energy (0 for the lowest one) ... 375 meV per atom
SG ... Fm-3m (225)
Crystal system ... cubic